Entry 1:
AlHPt2 (GGA-PBE, optimized geometry); theoretical density = 14.07 g cm⁻³; E_tot = -0.3866 Ry/atom; magnetic moment = 0.000 μB/atom
1.0
6.0490 0.0000 0.0000
0.0000 6.0490 0.0000
0.0000 0.0000 5.3932
Al H Pt
4 4 8
Direct
0.0000 0.0000 0.0000
0.0000 0.5000 0.2500
0.5000 0.0000 0.7500
0.5000 0.5000 0.5000
0.0000 0.0000 0.5000
0.0000 0.5000 0.7500
0.5000 0.0000 0.2500
0.5000 0.5000 0.0000
0.1604 0.2500 0.6250
0.2500 0.6604 0.8750
0.2500 0.8396 0.3750
0.3396 0.2500 0.1250
0.6604 0.7500 0.1250
0.7500 0.1604 0.3750
0.7500 0.3396 0.8750
0.8396 0.7500 0.6250

Entry 2:
Al3HPt (GGA-PBE, optimized geometry); theoretical density = 4.29 g cm⁻³; E_tot = -0.2998 Ry/atom; magnetic moment = 0.000 μB/atom
1.0
4.7521 0.0000 0.0000
0.0000 4.7521 0.0000
0.0000 0.0000 4.7521
Al H Pt
3 1 1
Direct
0.0000 0.0000 0.5000
0.0000 0.5000 0.0000
0.5000 0.0000 0.0000
0.5000 0.5000 0.5000
0.0000 0.0000 0.0000

Entry 3:
Al2H2Pt (GGA-PBE, optimized geometry); theoretical density = 8.10 g cm⁻³; E_tot = -0.3134 Ry/atom; magnetic moment = 0.000 μB/atom
1.0
2.9146 0.0000 0.0000
0.0000 2.9146 0.0000
0.0000 0.0000 12.1176
Al H Pt
4 4 2
Direct
0.0000 0.0000 0.1397
0.0000 0.0000 0.8603
0.5000 0.5000 0.3603
0.5000 0.5000 0.6397
0.0000 0.5000 0.2500
0.0000 0.5000 0.7500
0.5000 0.0000 0.2500
0.5000 0.0000 0.7500
0.0000 0.0000 0.5000
0.5000 0.5000 0.0000

Entry 4:
AlHPt2 (GGA-PBE, optimized geometry); theoretical density = 9.63 g cm⁻³; E_tot = -0.3668 Ry/atom; magnetic moment = 0.000 μB/atom
1.0
4.1202 0.0000 0.0000
-2.0601 3.5682 0.0000
0.0000 0.0000 14.7137
Al H Pt
3 3 6
Direct
0.0000 0.0000 0.0000
0.3333 0.6667 0.6667
0.6667 0.3333 0.3333
0.0000 0.0000 0.5000
0.3333 0.6667 0.1667
0.6667 0.3333 0.8333
0.0000 0.0000 0.3855
0.0000 0.0000 0.6145
0.3333 0.6667 0.0521
0.3333 0.6667 0.2812
0.6667 0.3333 0.7188
0.6667 0.3333 0.9479

Entry 5:
Al2H6Pt (GGA-PBE, optimized geometry); theoretical density = 5.70 g cm⁻³; E_tot = -0.2479 Ry/atom; magnetic moment = 0.000 μB/atom
1.0
0.0000 3.3368 3.3368
3.3368 0.0000 3.3368
3.3368 3.3368 0.0000
Al H Pt
2 6 1
Direct
0.2500 0.2500 0.2500
0.7500 0.7500 0.7500
0.2273 0.2273 0.7727
0.2273 0.7727 0.2273
0.2273 0.7727 0.7727
0.7727 0.2273 0.2273
0.7727 0.2273 0.7727
0.7727 0.7727 0.2273
0.5000 0.5000 0.5000

Entry 6:
AlHPt (GGA-PBE, optimized geometry); theoretical density = 9.60 g cm⁻³; E_tot = -0.3536 Ry/atom; magnetic moment = 0.000 μB/atom
1.0
9.4844 0.0000 0.0000
0.0000 5.5337 0.0000
0.0000 0.0000 17.6450
Al H Pt
24 24 24
Direct
0.2304 0.0042 0.0655
0.2304 0.9958 0.5655
0.2372 0.0128 0.9021
0.2372 0.9872 0.4021
0.2437 0.0089 0.7303
0.2437 0.9911 0.2303
0.2563 0.4911 0.2303
0.2563 0.5089 0.7303
0.2628 0.4872 0.4021
0.2628 0.5128 0.9021
0.2696 0.4958 0.5655
0.2696 0.5042 0.0655
0.7304 0.4958 0.9345
0.7304 0.5042 0.4345
0.7372 0.4872 0.0979
0.7372 0.5128 0.5979
0.7437 0.4911 0.2697
0.7437 0.5089 0.7697
0.7563 0.0089 0.7697
0.7563 0.9911 0.2697
0.7628 0.0128 0.5979
0.7628 0.9872 0.0979
0.7696 0.0042 0.4345
0.7696 0.9958 0.9345
0.0440 0.0530 0.8173
0.0440 0.9470 0.3173
0.0531 0.4700 0.5581
0.0531 0.5300 0.0581
0.0558 0.4414 0.8112
0.0558 0.5586 0.3112
0.4442 0.0586 0.3112
0.4442 0.9414 0.8112
0.4469 0.0300 0.0581
0.4469 0.9700 0.5581
0.4560 0.4470 0.3173
0.4560 0.5530 0.8173
0.5440 0.4470 0.1827
0.5440 0.5530 0.6827
0.5531 0.0300 0.4419
0.5531 0.9700 0.9419
0.5558 0.0586 0.1888
0.5558 0.9414 0.6888
0.9442 0.4414 0.6888
0.9442 0.5586 0.1888
0.9469 0.4700 0.9419
0.9469 0.5300 0.4419
0.9560 0.0530 0.6827
0.9560 0.9470 0.1827
0.0903 0.2788 0.9856
0.0903 0.7212 0.4856
0.0910 0.2513 0.3160
0.0910 0.7487 0.8160
0.0916 0.2680 0.6466
0.0916 0.7320 0.1466
0.4084 0.2320 0.1466
0.4084 0.7680 0.6466
0.4090 0.2487 0.8160
0.4090 0.7513 0.3160
0.4097 0.2212 0.4856
0.4097 0.7788 0.9856
0.5903 0.2212 0.0144
0.5903 0.7788 0.5144
0.5910 0.2487 0.6840
0.5910 0.7513 0.1840
0.5916 0.2320 0.3534
0.5916 0.7680 0.8534
0.9084 0.2680 0.8534
0.9084 0.7320 0.3534
0.9090 0.2513 0.1840
0.9090 0.7487 0.6840
0.9097 0.2788 0.5144
0.9097 0.7212 0.0144

Entry 7:
AlRe2HPt (GGA-PBE, optimized geometry); theoretical density = 8.83 g cm⁻³; E_tot = -0.3941 Ry/atom; magnetic moment = 0.924 μB/atom
1.0
4.9038 0.0000 0.0000
0.0000 4.9038 0.0000
0.0000 0.0000 4.6551
Al Re H Pt
1 2 1 1
Direct
0.0000 0.0000 0.0000
0.0000 0.5000 0.5000
0.5000 0.0000 0.5000
0.5000 0.5000 0.0000
0.0000 0.0000 0.5000

Entry 8:
AlHPtRh2 (GGA-PBE, optimized geometry); theoretical density = 11.82 g cm⁻³; E_tot = -0.4423 Ry/atom; magnetic moment = 0.000 μB/atom
1.0
3.9352 0.0000 0.0000
0.0000 3.9352 0.0000
0.0000 0.0000 3.8914
Al H Pt Rh
1 1 1 2
Direct
0.0000 0.0000 0.0000
0.5000 0.5000 0.5000
0.5000 0.5000 0.0000
0.0000 0.5000 0.5000
0.5000 0.0000 0.5000

Entry 9:
AlHPtRh2 (GGA-PBE, optimized geometry); theoretical density = 11.91 g cm⁻³; E_tot = -0.4372 Ry/atom; magnetic moment = 0.000 μB/atom
1.0
3.8509 0.0000 0.0000
0.0000 3.8509 0.0000
0.0000 0.0000 4.0321
Al H Pt Rh
1 1 1 2
Direct
0.0000 0.0000 0.0000
0.0000 0.0000 0.5000
0.5000 0.5000 0.0000
0.0000 0.5000 0.5000
0.5000 0.0000 0.5000

Entry 10:
AlHPt2Rh (GGA-PBE, optimized geometry); theoretical density = 13.97 g cm⁻³; E_tot = -0.4236 Ry/atom; magnetic moment = 0.000 μB/atom
1.0
3.9444 0.0000 0.0000
0.0000 3.9444 0.0000
0.0000 0.0000 3.9811
Al H Pt Rh
1 1 2 1
Direct
0.0000 0.0000 0.0000
0.5000 0.5000 0.5000
0.0000 0.5000 0.5000
0.5000 0.0000 0.5000
0.5000 0.5000 0.0000

Entry 11:
AlHRuPt2 (GGA-PBE, optimized geometry); theoretical density = 13.97 g cm⁻³; E_tot = -0.4407 Ry/atom; magnetic moment = 0.000 μB/atom
1.0
3.9104 0.0000 0.0000
0.0000 3.9104 0.0000
0.0000 0.0000 4.0372
Al H Ru Pt
1 1 1 2
Direct
0.0000 0.0000 0.0000
0.5000 0.5000 0.5000
0.5000 0.5000 0.0000
0.0000 0.5000 0.5000
0.5000 0.0000 0.5000

Entry 12:
SmAlHPt2 (GGA-PBE, optimized geometry); theoretical density = 11.89 g cm⁻³; E_tot = -0.4220 Ry/atom; magnetic moment = 0.000 μB/atom
1.0
1.9458 -5.5301 0.0000
1.9458 5.5301 0.0000
0.0000 0.0000 7.3800
Sm Al H Pt
2 2 2 4
Direct
0.0559 0.9441 0.7500
0.9441 0.0559 0.2500
0.2257 0.7743 0.2500
0.7743 0.2257 0.7500
0.5000 0.5000 0.0000
0.5000 0.5000 0.5000
0.3434 0.6566 0.5547
0.3434 0.6566 0.9453
0.6566 0.3434 0.0547
0.6566 0.3434 0.4453

Entry 13:
Ta2AlHPt (GGA-PBE, optimized geometry); theoretical density = 14.13 g cm⁻³; E_tot = -0.5658 Ry/atom; magnetic moment = 0.000 μB/atom
1.0
3.9495 0.0000 0.0000
0.0000 3.9495 0.0000
0.0000 0.0000 4.4079
Ta Al H Pt
2 1 1 1
Direct
0.0000 0.5000 0.0000
0.5000 0.0000 0.0000
0.0000 0.0000 0.5000
0.0000 0.0000 0.0000
0.5000 0.5000 0.5000

Entry 14:
Ti2AlHPt (GGA-PBE, optimized geometry); theoretical density = 8.28 g cm⁻³; E_tot = -0.4701 Ry/atom; magnetic moment = 0.000 μB/atom
1.0
3.8719 0.0000 0.0000
0.0000 3.8719 0.0000
0.0000 0.0000 4.2669
Ti Al H Pt
2 1 1 1
Direct
0.0000 0.5000 0.0000
0.5000 0.0000 0.0000
0.0000 0.0000 0.5000
0.0000 0.0000 0.0000
0.5000 0.5000 0.5000

Entry 15:
TiAl2HPt (GGA-PBE, optimized geometry); theoretical density = 7.94 g cm⁻³; E_tot = -0.4053 Ry/atom; magnetic moment = 0.000 μB/atom
1.0
4.0801 0.0000 0.0000
0.0000 4.0801 0.0000
0.0000 0.0000 3.7412
Ti Al H Pt
1 2 1 1
Direct
0.0000 0.0000 0.0000
0.0000 0.5000 0.5000
0.5000 0.0000 0.5000
0.0000 0.0000 0.5000
0.5000 0.5000 0.0000

Entry 16:
Ti2AlHPt (GGA-PBE, optimized geometry); theoretical density = 8.17 g cm⁻³; E_tot = -0.4683 Ry/atom; magnetic moment = 0.000 μB/atom
1.0
4.0071 0.0000 0.0000
0.0000 4.0071 0.0000
0.0000 0.0000 4.0362
Ti Al H Pt
2 1 1 1
Direct
0.0000 0.5000 0.0000
0.5000 0.0000 0.0000
0.0000 0.0000 0.5000
0.5000 0.5000 0.0000
0.5000 0.5000 0.5000

Entry 17:
Al2VHPt (GGA-PBE, optimized geometry); theoretical density = 8.33 g cm⁻³; E_tot = -0.4133 Ry/atom; magnetic moment = 0.302 μB/atom
1.0
4.1462 0.0000 0.0000
0.0000 4.1462 0.0000
0.0000 0.0000 3.4887
Al V H Pt
2 1 1 1
Direct
0.0000 0.5000 0.0000
0.5000 0.0000 0.0000
0.0000 0.0000 0.5000
0.0000 0.0000 0.0000
0.5000 0.5000 0.5000

Entry 18:
Al2VHPt (GGA-PBE, optimized geometry); theoretical density = 8.18 g cm⁻³; E_tot = -0.4009 Ry/atom; magnetic moment = 0.000 μB/atom
1.0
4.0882 0.0000 0.0000
0.0000 4.0882 0.0000
0.0000 0.0000 3.6567
Al V H Pt
2 1 1 1
Direct
0.0000 0.5000 0.0000
0.5000 0.0000 0.0000
0.0000 0.0000 0.5000
0.5000 0.5000 0.0000
0.5000 0.5000 0.5000

Entry 19:
Y2AlHPt6 (GGA-PBE, optimized geometry); theoretical density = 13.55 g cm⁻³; E_tot = -0.4808 Ry/atom; magnetic moment = 0.000 μB/atom
1.0
2.8156 1.6256 6.1408
-2.8156 1.6256 6.1408
0.0000 -3.2512 6.1408
Y Al H Pt
2 1 1 6
Direct
0.2141 0.2141 0.2141
0.7859 0.7859 0.7859
0.5000 0.5000 0.5000
0.0000 0.0000 0.0000
0.2324 0.2324 0.7295
0.2324 0.7295 0.2324
0.2705 0.7676 0.7676
0.7295 0.2324 0.2324
0.7676 0.2705 0.7676
0.7676 0.7676 0.2705

Entry 20:
AlZnHPt2 (GGA-PBE, optimized geometry); theoretical density = 11.37 g cm⁻³; E_tot = -0.2940 Ry/atom; magnetic moment = 0.000 μB/atom
1.0
4.8740 0.0000 0.0000
0.0000 4.8740 0.0000
0.0000 0.0000 2.9739
Al Zn H Pt
1 1 1 2
Direct
0.0000 0.0000 0.0000
0.5000 0.5000 0.5000
0.5000 0.5000 0.0000
0.0000 0.5000 0.5000
0.5000 0.0000 0.5000

Entry 21:
ZrAl2HPt (GGA-PBE, optimized geometry); theoretical density = 8.20 g cm⁻³; E_tot = -0.4135 Ry/atom; magnetic moment = 0.000 μB/atom
1.0
4.1730 0.0000 0.0000
0.0000 4.1730 0.0000
0.0000 0.0000 3.9680
Zr Al H Pt
1 2 1 1
Direct
0.0000 0.0000 0.0000
0.0000 0.5000 0.5000
0.5000 0.0000 0.5000
0.0000 0.0000 0.5000
0.5000 0.5000 0.0000

Entry 22:
Zr2AlHPt (GGA-PBE, optimized geometry); theoretical density = 8.71 g cm⁻³; E_tot = -0.4872 Ry/atom; magnetic moment = 0.000 μB/atom
1.0
4.3473 0.0000 0.0000
0.0000 4.3473 0.0000
0.0000 0.0000 4.0929
Zr Al H Pt
2 1 1 1
Direct
0.0000 0.5000 0.0000
0.5000 0.0000 0.0000
0.0000 0.0000 0.5000
0.5000 0.5000 0.0000
0.5000 0.5000 0.5000

Entry 23:
Zr2AlHPt (GGA-PBE, optimized geometry); theoretical density = 8.82 g cm⁻³; E_tot = -0.4846 Ry/atom; magnetic moment = 0.000 μB/atom
1.0
4.2128 0.0000 0.0000
0.0000 4.2128 0.0000
0.0000 0.0000 4.3041
Zr Al H Pt
2 1 1 1
Direct
0.0000 0.5000 0.0000
0.5000 0.0000 0.0000
0.0000 0.0000 0.5000
0.0000 0.0000 0.0000
0.5000 0.5000 0.5000

Entry 24:
PuAlH5 (GGA-PBE, optimized geometry); theoretical density = 7.79 g cm⁻³; E_tot = -0.3768 Ry/atom; magnetic moment = 0.819 μB/atom
1.0
7.5234 0.0000 0.0000
0.0000 4.7154 0.0000
-1.9641 0.0000 3.3162
Pu Al H
2 2 10
Direct
0.0000 0.0000 0.0000
0.5000 0.5000 0.0000
0.0000 0.5000 0.5000
0.5000 0.0000 0.5000
0.0000 0.5000 0.0000
0.1754 0.2273 0.6759
0.1754 0.7727 0.6759
0.3246 0.2727 0.3241
0.3246 0.7273 0.3241
0.5000 0.0000 0.0000
0.6754 0.2727 0.6759
0.6754 0.7273 0.6759
0.8246 0.2273 0.3241
0.8246 0.7727 0.3241